1.
KDyTe3Pd | PBE | optimized geometry

Unit cell a=4.399 b=17.647 c=10.181 alpha=90.00 beta=90.00 gamma=90.00
Space group Cmcm (No. 63)
Symmetry-distinct sites (fractional):
1 K 0.000 0.245 0.250 (multiplicity 4)
2 Dy 0.000 0.000 0.000 (multiplicity 4)
3 Te 0.000 0.098 0.750 (multiplicity 4)
4 Te 0.000 0.386 0.586 (multiplicity 8)
5 Pd 0.000 0.496 0.250 (multiplicity 4)

## Properties
The value obtained for the distance to the lowest polymorph of the same formula is 0.000 eV/atom. The calculation puts the magnetic moment at 0.0 Bohr magnetons per cell.



2.
BaAl2PdAu | PBE | optimized geometry

Unit cell a=4.607 b=4.607 c=10.571 alpha=90.00 beta=90.00 gamma=90.00
Space group P4/nmm (No. 129, origin choice 2)
Symmetry-distinct sites (fractional):
1 Ba 0.250 0.250 0.243 (multiplicity 2)
2 Al 0.250 0.250 0.894 (multiplicity 2)
3 Al 0.250 0.750 0.500 (multiplicity 2)
4 Pd 0.250 0.750 0.000 (multiplicity 2)
5 Au 0.250 0.250 0.630 (multiplicity 2)

## Properties
Its total energy is -4.23 eV/atom.



3.
ReHgAsO | PBE | optimized geometry

Unit cell a=3.957 b=3.957 c=9.214 alpha=90.00 beta=90.00 gamma=90.00
Space group P4/nmm (No. 129, origin choice 2)
Symmetry-distinct sites (fractional):
1 Re 0.250 0.250 0.083 (multiplicity 2)
2 Hg 0.250 0.750 0.500 (multiplicity 2)
3 As 0.250 0.250 0.798 (multiplicity 2)
4 O 0.250 0.750 0.000 (multiplicity 2)

## Properties
The value obtained for the distance to the lowest polymorph of the same formula is 0.740 eV/atom. The calculation puts the magnetic moment at 0.1 Bohr magnetons per cell.